{
  "formula": "BeZnF4",
  "functional": "GGA-PBE",
  "state": "relaxed",
  "spacegroup": "No. 10",
  "energy_ev_per_cell": -27.59,
  "magnetic_moment_mub_per_atom": 0.000,
  "polymorph_energy_kj_per_mol_atoms": 22.3,
  "formation_energy_uncorrected_ev_per_atom": -2.52,
  "lattice_angstrom": [[4.651, 0.000, 0.000], [0.000, 2.903, 0.000], [-0.332, 0.000, 5.054]],
  "species": ["Be", "Zn", "F", "F", "F", "F"],
  "frac_coords": [[0.000, 0.000, 0.000], [0.000, 0.500, 0.500], [0.202, 0.500, 0.868], [0.204, 0.000, 0.293], [0.796, 0.000, 0.707], [0.798, 0.500, 0.132]]
}